No. 1
Below is a relaxed structure of Ba2PuN3, with properties calculated at the PBE-GGA level.

Unit cell a=7.490 b=7.490 c=6.085 alpha=90.00 beta=90.00 gamma=47.06
Fractional coordinates of all 12 atoms:
1 Ba 0.074 0.625 0.035
2 Ba 0.375 0.926 0.035
3 Ba 0.625 0.074 0.535
4 Ba 0.926 0.375 0.535
5 N 0.578 0.137 0.035
6 N 0.863 0.422 0.035
7 N 0.000 0.000 0.285
8 N 0.137 0.578 0.535
9 N 0.422 0.863 0.535
10 N 0.000 0.000 0.785
11 Pu 0.741 0.259 0.035
12 Pu 0.259 0.741 0.535

**Spin magnetization**: 3.0 μB/f.u.
**Space-group type**: No. 63


No. 2
Below is a relaxed structure of BaReN2, with properties calculated at the PBE-GGA level.

Unit cell a=6.636 b=6.636 c=8.098 alpha=90.00 beta=90.00 gamma=124.53
Fractional coordinates of all 16 atoms:
1 Ba 0.653 0.347 0.060
2 Ba 0.153 0.847 0.440
3 Ba 0.847 0.153 0.560
4 Ba 0.347 0.653 0.940
5 N 0.113 0.887 0.104
6 N 0.154 0.346 0.250
7 N 0.654 0.846 0.250
8 N 0.613 0.387 0.396
9 N 0.387 0.613 0.604
10 N 0.346 0.154 0.750
11 N 0.846 0.654 0.750
12 N 0.887 0.113 0.896
13 Re 0.937 0.063 0.127
14 Re 0.437 0.563 0.373
15 Re 0.563 0.437 0.627
16 Re 0.063 0.937 0.873

**Spin magnetization**: 0.0 μB/f.u.
**Space-group type**: No. 64


No. 3
Below is a relaxed structure of Ba2TaReN6, with properties calculated at the PBE-GGA level.

Unit cell a=5.797 b=5.797 c=5.797 alpha=119.91 beta=119.91 gamma=60.11
Fractional coordinates of all 10 atoms:
1 Ba 0.750 0.750 0.250
2 Ba 0.250 0.250 0.750
3 N 0.755 0.243 0.244
4 N 0.243 0.755 0.244
5 N 0.244 0.244 0.245
6 N 0.756 0.756 0.755
7 N 0.757 0.245 0.756
8 N 0.245 0.757 0.756
9 Re 0.000 0.000 0.000
10 Ta 0.500 0.500 0.500

**Spin magnetization**: 0.4 μB/f.u.
**Space-group type**: No. 166


No. 4
Below is a relaxed structure of Ba2ScTcN6, with properties calculated at the PBE-GGA level.

Unit cell a=5.898 b=5.898 c=5.898 alpha=120.02 beta=120.02 gamma=89.97
Fractional coordinates of all 10 atoms:
1 Ba 0.750 0.250 0.500
2 Ba 0.250 0.750 0.500
3 N 0.238 0.238 0.000
4 N 0.762 0.762 0.000
5 N 0.767 0.243 0.010
6 N 0.243 0.233 0.476
7 N 0.757 0.767 0.524
8 N 0.233 0.757 0.990
9 Sc 0.500 0.500 0.000
10 Tc 0.000 0.000 0.000

**Offset from the most stable computed form**: 0.3 meV/atom
**Spin magnetization**: 4.0 μB/f.u.
**Space-group type**: No. 87


No. 5
Below is a relaxed structure of Ba2ScTcN6, with properties calculated at the PBE-GGA level.

Unit cell a=5.897 b=5.897 c=5.897 alpha=120.01 beta=120.01 gamma=89.98
Fractional coordinates of all 10 atoms:
1 Ba 0.750 0.250 0.500
2 Ba 0.250 0.750 0.500
3 N 0.238 0.238 0.000
4 N 0.762 0.238 0.000
5 N 0.238 0.762 0.000
6 N 0.762 0.762 0.000
7 N 0.238 0.238 0.476
8 N 0.762 0.762 0.524
9 Sc 0.500 0.500 0.000
10 Tc 0.000 0.000 0.000

**Offset from the most stable computed form**: 0.0 meV/atom
**Spin magnetization**: 4.0 μB/f.u.
**Space-group type**: No. 225


No. 6
Below is a relaxed structure of Ba2ScTcN6, with properties calculated at the PBE-GGA level.

Unit cell a=5.874 b=5.874 c=5.875 alpha=120.00 beta=120.00 gamma=60.00
Fractional coordinates of all 10 atoms:
1 Ba 0.250 0.250 0.250
2 Ba 0.750 0.750 0.750
3 N 0.762 0.237 0.262
4 N 0.237 0.762 0.262
5 N 0.762 0.762 0.263
6 N 0.238 0.238 0.737
7 N 0.763 0.238 0.738
8 N 0.238 0.763 0.738
9 Sc 0.500 0.500 0.000
10 Tc 0.000 0.000 0.500

**Offset from the most stable computed form**: 11.3 meV/atom
**Spin magnetization**: 0.9 μB/f.u.
**Space-group type**: No. 12


No. 7
Below is a relaxed structure of Ba3SmN3, with properties calculated at the PBE-GGA level.

Unit cell a=8.503 b=8.503 c=5.834 alpha=90.00 beta=90.00 gamma=120.00
Fractional coordinates of all 14 atoms:
1 Ba 0.745 0.083 0.250
2 Ba 0.339 0.255 0.250
3 Ba 0.917 0.661 0.250
4 Ba 0.083 0.339 0.750
5 Ba 0.661 0.745 0.750
6 Ba 0.255 0.917 0.750
7 N 0.102 0.372 0.250
8 N 0.628 0.730 0.250
9 N 0.270 0.898 0.250
10 N 0.730 0.102 0.750
11 N 0.372 0.270 0.750
12 N 0.898 0.628 0.750
13 Sm 0.333 0.667 0.250
14 Sm 0.667 0.333 0.750

**Spin magnetization**: 0.0 μB/f.u.
**Space-group type**: No. 176


No. 8
Below is a relaxed structure of BaSmN3, with properties calculated at the PBE-GGA level.

Unit cell a=6.820 b=3.672 c=7.197 alpha=90.00 beta=112.44 gamma=90.00
Fractional coordinates of all 10 atoms:
1 Ba 0.792 0.250 0.113
2 Ba 0.208 0.750 0.887
3 N 0.206 0.250 0.171
4 N 0.419 0.250 0.275
5 N 0.942 0.750 0.458
6 N 0.058 0.250 0.542
7 N 0.581 0.750 0.725
8 N 0.794 0.750 0.829
9 Sm 0.266 0.750 0.426
10 Sm 0.734 0.250 0.574

**Spin magnetization**: 0.0 μB/f.u.
**Space-group type**: No. 11


No. 9
Below is a relaxed structure of BaSrZnN2, with properties calculated at the PBE-GGA level.

Unit cell a=7.060 b=7.060 c=7.060 alpha=146.92 beta=146.92 gamma=47.48
Fractional coordinates of all 5 atoms:
1 Ba 0.344 0.344 0.000
2 N 0.142 0.142 0.000
3 N 0.857 0.857 0.000
4 Sr 0.658 0.658 0.000
5 Zn 0.999 0.999 0.000

**Space-group type**: No. 107


No. 10
Below is a relaxed structure of BaTaN2, with properties calculated at the PBE-GGA level.

Unit cell a=7.025 b=7.025 c=7.900 alpha=90.00 beta=90.00 gamma=129.92
Fractional coordinates of all 16 atoms:
1 Ba 0.668 0.332 0.081
2 Ba 0.168 0.832 0.419
3 Ba 0.832 0.168 0.581
4 Ba 0.332 0.668 0.919
5 N 0.097 0.903 0.095
6 N 0.107 0.393 0.250
7 N 0.607 0.893 0.250
8 N 0.597 0.403 0.405
9 N 0.403 0.597 0.595
10 N 0.393 0.107 0.750
11 N 0.893 0.607 0.750
12 N 0.903 0.097 0.905
13 Ta 0.936 0.064 0.151
14 Ta 0.436 0.564 0.349
15 Ta 0.564 0.436 0.651
16 Ta 0.064 0.936 0.849

**Spin magnetization**: 0.0 μB/f.u.
**Space-group type**: No. 64


No. 11
Below is a relaxed structure of BaTaN3, with properties calculated at the PBE-GGA level.

Unit cell a=6.993 b=6.993 c=5.997 alpha=90.00 beta=90.00 gamma=143.08
Fractional coordinates of all 10 atoms:
1 Ba 0.139 0.861 0.250
2 Ba 0.861 0.139 0.750
3 N 0.500 0.500 0.000
4 N 0.664 0.028 0.250
5 N 0.972 0.336 0.250
6 N 0.500 0.500 0.500
7 N 0.028 0.664 0.750
8 N 0.336 0.972 0.750
9 Ta 0.407 0.593 0.250
10 Ta 0.593 0.407 0.750

**Spin magnetization**: 0.0 μB/f.u.
**Space-group type**: No. 63


No. 12
Below is a relaxed structure of Ba3TbN3, with properties calculated at the PBE-GGA level.

Unit cell a=8.475 b=8.475 c=5.821 alpha=90.00 beta=90.00 gamma=120.00
Fractional coordinates of all 14 atoms:
1 Ba 0.741 0.081 0.250
2 Ba 0.341 0.259 0.250
3 Ba 0.919 0.659 0.250
4 Ba 0.081 0.341 0.750
5 Ba 0.659 0.741 0.750
6 Ba 0.259 0.919 0.750
7 N 0.104 0.378 0.250
8 N 0.622 0.726 0.250
9 N 0.274 0.896 0.250
10 N 0.726 0.104 0.750
11 N 0.378 0.274 0.750
12 N 0.896 0.622 0.750
13 Tb 0.333 0.667 0.250
14 Tb 0.667 0.333 0.750

**Spin magnetization**: 0.0 μB/f.u.
**Space-group type**: No. 176


Number 1: VASP energy -7.99 eV per atom. Number 2: VASP energy -8.12 eV per atom. Number 3: VASP energy -8.23 eV per atom. Number 4: VASP energy -7.14 eV per atom. Number 5: VASP energy -7.14 eV per atom. Number 6: VASP energy -7.13 eV per atom. Number 7: VASP energy -5.47 eV per atom. Number 8: VASP energy -6.77 eV per atom. Number 9: VASP energy -4.76 eV per atom. Number 10: VASP energy -8.64 eV per atom. Number 11: VASP energy -8.51 eV per atom. Number 12: VASP energy -5.49 eV per atom.